VASP calculation (PBE) on an optimized crystal structure of RbTbInSe3.

```
RbTbInSe3
1.0
8.970 0.000 0.000
0.000 4.122 0.000
-3.588 0.000 10.859
Rb Tb In Se
2 2 2 6
Direct
0.235 0.250 0.271
0.765 0.750 0.729
0.354 0.750 0.855
0.646 0.250 0.145
0.131 0.250 0.580
0.869 0.750 0.420
0.110 0.250 0.806
0.334 0.750 0.588
0.416 0.750 0.114
0.584 0.250 0.886
0.666 0.250 0.412
0.890 0.750 0.194
```

Computed properties:
energy relative to the elements, uncorrected: -1273 meV/atom
spin magnetization: 0.0 μB per formula unit